# SrHg2F, optimized geometry, DFT PBE
data_SrHg2F
_chemical_formula_sum 'Sr4 Hg8 F4'
_cell_length_a 7.5118
_cell_length_b 7.5118
_cell_length_c 7.5118
_cell_angle_alpha 90.00
_cell_angle_beta 90.00
_cell_angle_gamma 90.00
_space_group_name_H-M_alt 'F m -3 m'
_space_group_IT_number 225
_space_group_name_Hall '-F 4 2 3'
loop_
_atom_site_label
_atom_site_type_symbol
_atom_site_fract_x
_atom_site_fract_y
_atom_site_fract_z
Sr1 Sr 0.0000 0.0000 0.0000
Hg1 Hg 0.2500 0.2500 0.2500
F1 F 0.0000 0.0000 0.5000
# Formation energy without anion corrections, eV/atom: -0.895
# Fermi-level density of states, states/eV/f.u.: 2.048
# Polymorph energy (0 for the lowest one), meV per atom: 436
# ρ, g/cm3: 7.96